! TmScRhAu (PBE, optimized geometry); values from VASP
&SYSTEM
  ibrav = 0, nat = 4, ntyp = 4
/
ATOMIC_SPECIES
Tm 168.93 Tm.upf
Sc 44.96 Sc.upf
Rh 102.91 Rh.upf
Au 196.97 Au.upf
ATOMIC_POSITIONS angstrom
Tm 0.000 0.000 0.000
Sc 3.401 3.401 3.401
Rh 1.700 1.700 1.700
Au 5.101 5.101 5.101
CELL_PARAMETERS angstrom
0.000 3.401 3.401
3.401 0.000 3.401
3.401 3.401 0.000
! - ΔE_f (eV/atom) = -0.857
! - distance to the lowest polymorph of the same formula (meV/atom) = 33.5
! - D(E_F) (states/eV per cell) = 3.58
! - space-group type = F-43m (216)

=====

! CsI2O2 (PBE, optimized geometry); values from VASP
&SYSTEM
  ibrav = 0, nat = 5, ntyp = 3
/
ATOMIC_SPECIES
Cs 132.91 Cs.upf
I 126.90 I.upf
O 16.00 O.upf
ATOMIC_POSITIONS angstrom
Cs 0.000 0.000 0.000
I 0.000 3.782 0.000
I 3.782 0.000 0.000
O 0.000 0.000 2.200
O 3.782 3.782 2.200
CELL_PARAMETERS angstrom
7.563 0.000 0.000
0.000 7.563 0.000
0.000 0.000 4.400
! - distance to the lowest polymorph of the same formula (meV/atom) = 942.9
! - D(E_F) (states/eV per cell) = 11.19
! - uncorrected formation energy (eV/atom) = 0.813
! - space-group type = P4/mmm (123)

=====

! HfCrW2 (PBE, optimized geometry); values from VASP
&SYSTEM
  ibrav = 0, nat = 8, ntyp = 3
/
ATOMIC_SPECIES
Hf 178.49 Hf.upf
Cr 52.00 Cr.upf
W 183.84 W.upf
ATOMIC_POSITIONS angstrom
Hf 0.000 0.000 0.000
Hf 0.000 1.875 5.052
Cr 1.875 0.000 5.052
Cr 0.000 0.000 10.105
W 0.938 -0.926 7.578
W 0.950 0.938 2.526
W 0.938 2.801 -2.526
W 0.926 0.938 12.631
CELL_PARAMETERS angstrom
-1.875 1.875 10.105
1.875 -1.875 10.105
1.875 1.875 -10.105
! - ΔE_f (eV/atom) = 0.839
! - distance to the lowest polymorph of the same formula (meV/atom) = 625.8
! - D(E_F) (states/eV per cell) = 4.81
! - space-group type = I-42d (122)

=====

! TmLuTcNi (PBE, optimized geometry); values from VASP
&SYSTEM
  ibrav = 0, nat = 4, ntyp = 4
/
ATOMIC_SPECIES
Tm 168.93 Tm.upf
Lu 174.97 Lu.upf
Tc 98.00 Tc.upf
Ni 58.69 Ni.upf
ATOMIC_POSITIONS angstrom
Tm 0.000 0.000 0.000
Lu 3.340 3.340 3.340
Tc 1.670 1.670 1.670
Ni 5.010 5.010 5.010
CELL_PARAMETERS angstrom
0.000 3.340 3.340
3.340 0.000 3.340
3.340 3.340 0.000
! - ΔE_f (eV/atom) = -0.215
! - D(E_F) (states/eV per cell) = 3.36
! - space-group type = F-43m (216)

=====

! Na2BiBr (PBE, optimized geometry); values from VASP
&SYSTEM
  ibrav = 0, nat = 4, ntyp = 3
/
ATOMIC_SPECIES
Na 22.99 Na.upf
Bi 208.98 Bi.upf
Br 79.90 Br.upf
ATOMIC_POSITIONS angstrom
Na 0.000 0.000 1.828
Na 0.000 0.000 6.808
Bi 1.782 1.782 4.318
Br 1.782 1.782 0.000
CELL_PARAMETERS angstrom
3.565 0.000 0.000
0.000 3.565 0.000
0.000 0.000 8.636
! - distance to the lowest polymorph of the same formula (meV/atom) = 0.0
! - D(E_F) (states/eV per cell) = 1.23
! - uncorrected formation energy (eV/atom) = -0.821
! - space-group type = P4/mmm (123)

=====

! AcTlAg2F8 (PBE, optimized geometry); values from VASP
&SYSTEM
  ibrav = 0, nat = 12, ntyp = 4
/
ATOMIC_SPECIES
Ac 227.00 Ac.upf
Tl 204.38 Tl.upf
Ag 107.87 Ag.upf
F 19.00 F.upf
ATOMIC_POSITIONS angstrom
Ac 0.000 0.000 0.000
Tl 0.000 4.023 0.000
Ag 1.964 2.151 2.934
Ag 1.964 5.894 2.934
F -0.010 2.155 4.552
F -0.010 5.890 4.552
F 1.812 4.023 1.281
F 1.888 0.000 4.469
F 2.041 0.000 1.400
F 2.117 4.023 4.588
F 3.939 2.155 1.317
F 3.939 5.890 1.317
CELL_PARAMETERS angstrom
4.169 0.000 0.000
0.000 8.045 0.000
-0.240 0.000 5.869
! - uncorrected formation energy (eV/atom) = -2.313
! - space-group type = P2/m (10)

=====

! SrTlMoCl6 (PBE, optimized geometry); values from VASP
&SYSTEM
  ibrav = 0, nat = 18, ntyp = 4
/
ATOMIC_SPECIES
Sr 87.62 Sr.upf
Tl 204.38 Tl.upf
Mo 95.94 Mo.upf
Cl 35.45 Cl.upf
ATOMIC_POSITIONS angstrom
Sr 0.000 4.110 3.364
Sr 3.559 2.055 10.091
Tl 0.000 0.000 0.000
Tl 0.000 0.000 6.728
Mo 0.000 4.110 10.091
Mo 3.559 2.055 3.364
Cl -1.059 2.407 8.641
Cl -2.004 4.044 11.542
Cl 1.059 2.407 11.542
Cl -0.945 5.878 8.641
Cl 2.614 0.286 1.914
Cl 1.555 2.120 4.814
Cl 2.004 4.044 8.641
Cl 0.945 5.878 11.542
Cl 4.505 0.286 4.814
Cl 2.500 3.758 1.914
Cl 5.564 2.120 1.914
Cl 4.618 3.758 4.814
CELL_PARAMETERS angstrom
7.118 0.000 0.000
-3.559 6.165 0.000
0.000 0.000 13.455
! - uncorrected formation energy (eV/atom) = -1.429
! - space-group type = P-31c (163)

=====

! ScRu3Au (PBE, optimized geometry); values from VASP
&SYSTEM
  ibrav = 0, nat = 5, ntyp = 3
/
ATOMIC_SPECIES
Sc 44.96 Sc.upf
Ru 101.07 Ru.upf
Au 196.97 Au.upf
ATOMIC_POSITIONS angstrom
Sc 0.000 0.000 0.000
Ru 0.000 2.420 2.420
Ru 2.420 0.000 2.420
Ru 2.420 2.420 0.000
Au 2.420 2.420 2.420
CELL_PARAMETERS angstrom
4.840 0.000 0.000
0.000 4.840 0.000
0.000 0.000 4.840
! - ΔE_f (eV/atom) = 1.655
! - distance to the lowest polymorph of the same formula (meV/atom) = 147.8
! - D(E_F) (states/eV per cell) = 4.61
! - space-group type = Pm-3m (221)

=====

! GaReH6 (PBE, optimized geometry); values from VASP
&SYSTEM
  ibrav = 0, nat = 8, ntyp = 3
/
ATOMIC_SPECIES
Ga 69.72 Ga.upf
Re 186.21 Re.upf
H 1.01 H.upf
ATOMIC_POSITIONS angstrom
Ga 0.000 0.000 0.000
Re 0.799 2.307 0.000
H -0.760 2.296 0.996
H -0.766 -0.368 3.524
H -0.740 1.913 3.528
H 0.786 1.166 1.342
H 0.812 3.447 1.347
H 0.806 0.784 3.874
CELL_PARAMETERS angstrom
3.118 0.000 0.000
-1.519 4.615 0.000
-1.552 -1.536 4.870
! - D(E_F) (states/eV per cell) = 1.34
! - space-group type = P-1 (2)

=====

! MgSi8O16 (PBE, optimized geometry); values from VASP
&SYSTEM
  ibrav = 0, nat = 25, ntyp = 3
/
ATOMIC_SPECIES
Mg 24.30 Mg.upf
Si 28.09 Si.upf
O 16.00 O.upf
ATOMIC_POSITIONS angstrom
Mg 0.000 0.000 0.000
Si 1.565 3.608 1.612
Si 1.565 3.608 7.245
Si 3.603 1.560 2.814
Si 3.603 1.560 6.042
Si 3.603 5.656 2.814
Si 3.603 5.656 6.042
Si 5.640 3.608 1.612
Si 5.640 3.608 7.245
O 0.000 3.608 2.031
O 0.000 3.608 6.826
O 1.739 3.608 0.000
O 2.265 2.272 2.223
O 2.265 2.272 6.633
O 2.265 4.944 2.223
O 2.265 4.944 6.633
O 3.603 0.000 2.369
O 3.603 0.000 6.488
O 3.603 1.688 4.428
O 3.603 5.528 4.428
O 4.940 2.272 2.223
O 4.940 2.272 6.633
O 4.940 4.944 2.223
O 4.940 4.944 6.633
O 5.466 3.608 0.000
CELL_PARAMETERS angstrom
7.205 0.000 0.000
0.000 7.216 0.000
0.000 0.000 8.856
! - D(E_F) (states/eV per cell) = 0.00
! - uncorrected formation energy (eV/atom) = -2.616
! - space-group type = Pmmm (47)

=====

! Tb3DyMg12 (PBE, optimized geometry); values from VASP
&SYSTEM
  ibrav = 0, nat = 16, ntyp = 3
/
ATOMIC_SPECIES
Tb 158.93 Tb.upf
Dy 162.50 Dy.upf
Mg 24.30 Mg.upf
ATOMIC_POSITIONS angstrom
Tb 0.000 0.000 0.000
Tb 0.000 0.000 4.763
Tb 0.000 0.000 14.255
Dy 0.000 0.000 9.509
Mg 0.000 2.318 2.382
Mg 0.000 2.318 7.140
Mg 0.000 2.318 11.878
Mg 0.000 2.318 16.636
Mg 2.318 0.000 2.382
Mg 2.318 0.000 7.140
Mg 2.318 0.000 11.878
Mg 2.318 0.000 16.636
Mg 2.318 2.318 0.000
Mg 2.318 2.318 4.773
Mg 2.318 2.318 9.509
Mg 2.318 2.318 14.245
CELL_PARAMETERS angstrom
4.636 0.000 0.000
0.000 4.636 0.000
0.000 0.000 19.018
! - ΔE_f (eV/atom) = -0.062
! - D(E_F) (states/eV per cell) = 13.82
! - space-group type = P4/mmm (123)

=====

! Be6Au7 (PBE, optimized geometry); values from VASP
&SYSTEM
  ibrav = 0, nat = 13, ntyp = 2
/
ATOMIC_SPECIES
Be 9.01 Be.upf
Au 196.97 Au.upf
ATOMIC_POSITIONS angstrom
Be 0.000 0.000 2.113
Be 0.000 0.000 4.485
Be 0.000 0.000 8.232
Be 0.000 0.000 16.523
Be 0.000 0.000 20.270
Be 0.000 0.000 22.642
Au -1.378 -0.795 10.042
Au 0.000 -1.591 14.713
Au -1.378 0.795 14.713
Au 0.000 0.000 12.378
Au 1.378 -0.795 10.042
Au 0.000 1.591 10.042
Au 1.378 0.795 14.713
CELL_PARAMETERS angstrom
2.744 1.584 8.252
-2.744 1.584 8.252
0.000 -3.168 8.252
! - ΔE_f (eV/atom) = 0.315
! - D(E_F) (states/eV per cell) = 4.67
! - space-group type = R-3m (166)

=====

! Ca2GaNiI (PBE, optimized geometry); values from VASP
&SYSTEM
  ibrav = 0, nat = 5, ntyp = 4
/
ATOMIC_SPECIES
Ca 40.08 Ca.upf
Ga 69.72 Ga.upf
Ni 58.69 Ni.upf
I 126.90 I.upf
ATOMIC_POSITIONS angstrom
Ca 0.000 2.799 0.000
Ca 2.799 0.000 0.000
Ga 0.000 0.000 2.250
Ni 0.000 0.000 0.000
I 2.799 2.799 2.250
CELL_PARAMETERS angstrom
5.597 0.000 0.000
0.000 5.597 0.000
0.000 0.000 4.500
! - D(E_F) (states/eV per cell) = 2.37
! - uncorrected formation energy (eV/atom) = -0.518
! - space-group type = P4/mmm (123)

=====

! Sm4Ho7Th (PBE, optimized geometry); values from VASP
&SYSTEM
  ibrav = 0, nat = 12, ntyp = 3
/
ATOMIC_SPECIES
Sm 150.36 Sm.upf
Ho 164.93 Ho.upf
Th 232.04 Th.upf
ATOMIC_POSITIONS angstrom
Sm -1.214 0.000 3.647
Sm 3.038 0.000 2.497
Sm 3.064 0.000 8.685
Sm 7.316 0.000 7.535
Ho 0.000 0.000 0.000
Ho -3.022 0.000 10.325
Ho -1.140 0.000 7.611
Ho 1.437 0.000 5.566
Ho 4.665 0.000 5.616
Ho 7.242 0.000 3.571
Ho 9.124 0.000 0.857
Th 6.066 0.000 0.000
CELL_PARAMETERS angstrom
6.066 -2.969 0.000
6.066 2.969 0.000
-6.030 0.000 11.182
! - ΔE_f (eV/atom) = 0.299
! - distance to the lowest polymorph of the same formula (meV/atom) = 279.6
! - D(E_F) (states/eV per cell) = 18.22
! - space-group type = C2/m (12)

=====

! YSnN2 (PBE, optimized geometry); values from VASP
&SYSTEM
  ibrav = 0, nat = 8, ntyp = 3
/
ATOMIC_SPECIES
Y 88.91 Y.upf
Sn 118.71 Sn.upf
N 14.01 N.upf
ATOMIC_POSITIONS angstrom
Y 0.000 0.000 0.000
Y 0.000 2.613 2.644
Sn 2.613 0.000 2.644
Sn 0.000 0.000 5.287
N 1.307 -1.261 3.965
N 1.353 1.307 1.322
N 1.307 3.874 -1.322
N 1.261 1.307 6.609
CELL_PARAMETERS angstrom
-2.613 2.613 5.287
2.613 -2.613 5.287
2.613 2.613 -5.287
! - D(E_F) (states/eV per cell) = 4.01
! - uncorrected formation energy (eV/atom) = -0.427
! - space-group type = I-42d (122)

=====

! LiCeAlPt (PBE, optimized geometry); values from VASP
&SYSTEM
  ibrav = 0, nat = 4, ntyp = 4
/
ATOMIC_SPECIES
Li 6.94 Li.upf
Ce 140.12 Ce.upf
Al 26.98 Al.upf
Pt 195.08 Pt.upf
ATOMIC_POSITIONS angstrom
Li 0.000 0.000 0.000
Ce 1.669 1.669 1.669
Al 5.008 5.008 5.008
Pt 3.339 3.339 3.339
CELL_PARAMETERS angstrom
0.000 3.339 3.339
3.339 0.000 3.339
3.339 3.339 0.000
! - ΔE_f (eV/atom) = -0.674
! - D(E_F) (states/eV per cell) = 3.87
! - space-group type = F-43m (216)

=====

! LaVPRu2 (PBE, optimized geometry); values from VASP
&SYSTEM
  ibrav = 0, nat = 5, ntyp = 4
/
ATOMIC_SPECIES
La 138.91 La.upf
V 50.94 V.upf
P 30.97 P.upf
Ru 101.07 Ru.upf
ATOMIC_POSITIONS angstrom
La 0.000 0.000 0.000
V 0.000 0.000 2.788
P 2.205 2.205 0.000
Ru 0.000 2.205 2.788
Ru 2.205 0.000 2.788
CELL_PARAMETERS angstrom
4.411 0.000 0.000
0.000 4.411 0.000
0.000 0.000 5.576
! - ΔE_f (eV/atom) = 0.717
! - D(E_F) (states/eV per cell) = 4.98
! - space-group type = P4/mmm (123)

=====

! Sr2SmHoS4 (PBE, optimized geometry); values from VASP
&SYSTEM
  ibrav = 0, nat = 8, ntyp = 4
/
ATOMIC_SPECIES
Sr 87.62 Sr.upf
Sm 150.36 Sm.upf
Ho 164.93 Ho.upf
S 32.06 S.upf
ATOMIC_POSITIONS angstrom
Sr 0.000 0.000 0.000
Sr 3.515 2.030 0.000
Sm -1.171 2.030 3.402
Ho 2.344 0.000 3.402
S 0.042 0.000 4.990
S 1.210 2.030 1.839
S 3.478 2.030 4.965
S 4.646 0.000 1.813
CELL_PARAMETERS angstrom
7.031 0.000 0.000
0.000 4.061 0.000
-2.343 0.000 6.803
! - D(E_F) (states/eV per cell) = 3.42
! - uncorrected formation energy (eV/atom) = -2.037
! - space-group type = P2/m (10)

=====

! MgMoP3 (PBE, optimized geometry); values from VASP
&SYSTEM
  ibrav = 0, nat = 5, ntyp = 3
/
ATOMIC_SPECIES
Mg 24.30 Mg.upf
Mo 95.94 Mo.upf
P 30.97 P.upf
ATOMIC_POSITIONS angstrom
Mg 0.000 0.000 0.000
Mo 2.299 2.299 2.299
P 0.000 0.000 2.299
P 0.000 2.299 0.000
P 2.299 0.000 0.000
CELL_PARAMETERS angstrom
4.597 0.000 0.000
0.000 4.597 0.000
0.000 0.000 4.597
! - ΔE_f (eV/atom) = 1.498
! - distance to the lowest polymorph of the same formula (meV/atom) = 1160.0
! - D(E_F) (states/eV per cell) = 10.35
! - space-group type = Pm-3m (221)

=====

! Pm4NiBi2 (PBE, optimized geometry); values from VASP
&SYSTEM
  ibrav = 0, nat = 7, ntyp = 3
/
ATOMIC_SPECIES
Pm 145.00 Pm.upf
Ni 58.69 Ni.upf
Bi 208.98 Bi.upf
ATOMIC_POSITIONS angstrom
Pm 2.547 0.000 0.000
Pm 0.000 0.000 2.902
Pm 0.000 2.547 0.000
Pm 0.000 0.000 14.132
Ni 0.000 0.000 0.000
Bi 0.000 0.000 6.151
Bi 0.000 0.000 10.884
CELL_PARAMETERS angstrom
-2.547 2.547 8.517
2.547 -2.547 8.517
2.547 2.547 -8.517
! - ΔE_f (eV/atom) = -0.537
! - distance to the lowest polymorph of the same formula (meV/atom) = 0.0
! - D(E_F) (states/eV per cell) = 5.02
! - space-group type = I4/mmm (139)

=====

DFT total energy readings, ordered: -6.2149 -1.9612 -10.5322 -6.5003 -2.8687 -4.5752 -4.3137 -5.8322 -4.3012 -7.5882 -2.4138 -3.1696 -3.3901 -4.5623 -7.2063 -5.0821 -6.8842 -5.6834 -4.2333 -5.1867 eV/atom